1.
Below is an optimized crystal structure of Ba3AgHg3, with properties calculated at the PBE-GGA level.

Calculated values
space group	C2/m (12)
DOS at the Fermi energy	0.731	states/eV per atom
uncorrected energy	-25.22	eV per cell
magnetization	0.0	μB per formula unit
ΔH_f (0 K)	-298	kJ/mol of formula units

Cell lengths 4.716, 6.688, 17.440 Å; angles 86.63, 82.23, 69.35 degrees
Positions (direct):
Ba1 0.563 0.273 0.600
Ba2 0.437 0.727 0.400
Ba3 0.250 0.267 0.233
Ba4 0.750 0.733 0.767
Ba5 0.402 0.274 0.921
Ba6 0.598 0.726 0.079
Ag1 0.748 0.129 0.376
Ag2 0.252 0.871 0.624
Hg1 0.874 0.697 0.556
Hg2 0.126 0.303 0.444
Hg3 0.116 0.845 0.923
Hg4 0.884 0.155 0.077
Hg5 0.963 0.835 0.239
Hg6 0.037 0.165 0.761

2.
Below is an optimized crystal structure of AlMoBr2, with properties calculated at the PBE-GGA level.

Calculated values
space group	Cmmm (65)
DOS at the Fermi energy	0.540	states/eV per atom
uncorrected energy	-16.33	eV per cell
magnetization	1.4	μB per formula unit
offset from the most stable computed form	2.43	eV per formula unit

Cell lengths 3.381, 3.381, 9.805 Å; angles 90.00, 90.00, 124.66 degrees
Each line ends with the local moment (μB).
Positions (direct):
Mo1 0.500 0.500 0.250  1.15
Al1 0.500 0.500 0.750  0.00
Br1 0.000 0.000 0.039  0.02
Br2 0.000 0.000 0.461  0.02

3.
Below is an optimized crystal structure of PrGdSc2, with properties calculated at the PBE-GGA level.

Calculated values
space group	Fm-3m (225)
DOS at the Fermi energy	1.495	states/eV per atom
uncorrected energy	-31.23	eV per cell
magnetization	7.3	μB per formula unit
offset from the most stable computed form	0.08	eV per formula unit
ΔH_f (0 K)	28	kJ/mol of formula units

Cell lengths 5.481, 5.481, 5.481 Å; angles 60.00, 60.00, 60.00 degrees
Each line ends with the local moment (μB).
Positions (direct):
Pr1 0.000 0.000 0.000  0.06
Sc1 0.250 0.250 0.250  0.00
Sc2 0.750 0.750 0.750  0.00
Gd1 0.500 0.500 0.500  -7.15